Entry 1:
{"formula": "Ti12CrGa6", "functional": "PBE-GGA", "state": "optimized geometry", "lattice": [[4.7758, 2.7573, 3.8867], [-4.7758, 2.7573, 3.8867], [0.0000, -5.5147, 3.8867]], "species": ["Ti", "Ti", "Ti", "Ti", "Ti", "Ti", "Ti", "Ti", "Ti", "Ti", "Ti", "Ti", "Cr", "Ga", "Ga", "Ga", "Ga", "Ga", "Ga"], "frac_coords": [[0.0214, 0.3048, 0.9428], [0.0572, 0.9786, 0.6952], [0.1307, 0.3572, 0.4506], [0.3048, 0.9428, 0.0214], [0.3572, 0.4506, 0.1307], [0.4506, 0.1307, 0.3572], [0.5494, 0.8693, 0.6428], [0.6428, 0.5494, 0.8693], [0.6952, 0.0572, 0.9786], [0.8693, 0.6428, 0.5494], [0.9428, 0.0214, 0.3048], [0.9786, 0.6952, 0.0572], [0.5000, 0.5000, 0.5000], [0.2296, 0.7570, 0.3798], [0.2430, 0.6202, 0.7704], [0.3798, 0.2296, 0.7570], [0.6202, 0.7704, 0.2430], [0.7570, 0.3798, 0.2296], [0.7704, 0.2430, 0.6202]], "space_group": "R-3 (148)", "final_energy_ev_per_cell": -126.86}

=====

Entry 2:
{"formula": "CuTc2Br", "functional": "PBE-GGA", "state": "optimized geometry", "lattice": [[2.5876, -4.9733, 0.0000], [2.5876, 4.9733, 0.0000], [-1.9433, 0.0000, 2.5233]], "species": ["Cu", "Tc", "Tc", "Br"], "frac_coords": [[0.0000, 0.0000, 0.0000], [0.0000, 0.5000, 0.5000], [0.5000, 0.0000, 0.5000], [0.5000, 0.5000, 0.0000]], "space_group": "C2/m (12)", "de_polymorph_mev_per_atom": 560, "e_form_raw_ev_per_atom": 0.916}

=====

Entry 3:
{"formula": "TiOs3N", "functional": "PBE-GGA", "state": "optimized geometry", "lattice": [[4.5437, 0.0000, 0.0000], [0.0000, 4.5437, 0.0000], [0.0000, 0.0000, 4.5437]], "species": ["Ti", "Os", "Os", "Os", "N"], "frac_coords": [[0.0000, 0.0000, 0.0000], [0.0000, 0.0000, 0.5000], [0.0000, 0.5000, 0.0000], [0.5000, 0.0000, 0.0000], [0.5000, 0.5000, 0.5000]], "space_group": "Pm-3m (221)", "de_polymorph_mev_per_atom": 2992, "e_form_raw_ev_per_atom": 3.189}

=====

Result set for calculated volume: 16.163; 16.236; 18.762 Å³ per atom, one per record in the order listed.